Density functional theory data (PBE-GGA) for a relaxed structure of Li3NpPb2F12.

Calculated values
- Density of states at the Fermi level: 8.457 states/eV/cell
- Density: 4.9 Mg/m³
- Formation energy from raw total energies: -2757 meV per atom
- Space-group type: R-3m, No. 166
- Calculated total energy: -5.4549 eV per atom
- Calculated volume: 302.2 Å³ per cell

Unit cell a=9.6553 b=9.6553 c=9.6553 alpha=37.72 beta=37.72 gamma=37.72
Closest atoms and distances in Å follow each position.
Positions (direct):
F: 0.8908 0.8908 0.3548  1 Np 2.07
F: 0.6452 0.1092 0.1092  1 Np 2.07
F: 0.3549 0.8899 0.3549  2 Li 1.96
F: 0.6451 0.6451 0.1101  2 Li 1.96
F: 0.1101 0.6451 0.6451  2 Li 1.96
F: 0.3549 0.3549 0.8899  2 Li 1.96
F: 0.6451 0.1101 0.6451  2 Li 1.96
F: 0.1092 0.6452 0.1092  1 Np 2.07
F: 0.1092 0.1092 0.6452  1 Np 2.07
F: 0.8899 0.3549 0.3549  2 Li 1.96
F: 0.3548 0.8908 0.8908  1 Np 2.07
F: 0.8908 0.3548 0.8908  1 Np 2.07
Pb: 0.5772 0.5772 0.5772  3 F 2.26
Pb: 0.4228 0.4228 0.4228  3 F 2.26
Li: 0.0000 0.0000 0.5000  4 F 1.96
Li: 0.0000 0.5000 0.0000  4 F 1.96
Li: 0.5000 0.0000 0.0000  4 F 1.96
Np: 0.0000 0.0000 0.0000  6 F 2.07

=====

Density functional theory data (PBE-GGA) for a relaxed structure of Li2NpPbF8.

Calculated values
- Density of states at the Fermi level: 9.397 states/eV/cell
- Density: 5.0 Mg/m³
- Formation energy from raw total energies: -2848 meV per atom
- Space-group type: P-3m1, No. 164
- Calculated total energy: -5.8022 eV per atom
- Calculated volume: 200.8 Å³ per cell

Unit cell a=5.5347 b=5.5347 c=7.5700 alpha=90.00 beta=90.00 gamma=120.00
Closest atoms and distances in Å follow each position.
Positions (direct):
F: 0.6667 0.3333 0.5465  1 Li 1.76
F: 0.1634 0.8366 0.8033  1 Li 1.86
F: 0.8366 0.1634 0.1967  1 Li 1.86
F: 0.6732 0.8366 0.8033  1 Li 1.86
F: 0.3333 0.6667 0.4535  1 Li 1.76
F: 0.8366 0.6732 0.1967  1 Li 1.86
F: 0.1634 0.3268 0.8033  1 Li 1.86
F: 0.3268 0.1634 0.1967  1 Li 1.86
Li: 0.6667 0.3333 0.3140  4 F 1.76-1.86
Li: 0.3333 0.6667 0.6860  4 F 1.76-1.86
Pb: 0.0000 0.0000 0.5000  6 F 2.78
Np: 0.0000 0.0000 0.0000  6 F 2.16

=====

Density functional theory data (PBE-GGA) for a relaxed structure of Rb4Li3NpF12.

Calculated values
- Density of states at the Fermi level: 28.304 states/eV/cell
- Density: 4.3 Mg/m³
- Formation energy from raw total energies: -2844 meV per atom
- Space-group type: Im-3m, No. 229
- Calculated total energy: -5.0947 eV per atom
- Calculated volume: 317.5 Å³ per cell

Unit cell a=7.4437 b=7.4437 c=7.4437 alpha=109.47 beta=109.47 gamma=109.47
Closest atoms and distances in Å follow each position.
Positions (direct):
F: 0.0000 0.2428 0.2428  1 Np 2.09, 1 Li 2.21
F: 0.2428 0.2428 0.0000  1 Np 2.09, 1 Li 2.21
F: 0.5000 0.2500 0.7500  2 Li 2.15
F: 0.0000 0.7572 0.7572  1 Np 2.09, 1 Li 2.21
F: 0.2428 0.0000 0.2428  1 Np 2.09, 1 Li 2.21
F: 0.2500 0.7500 0.5000  2 Li 2.15
F: 0.5000 0.7500 0.2500  2 Li 2.15
F: 0.7572 0.0000 0.7572  1 Np 2.09, 1 Li 2.21
F: 0.7572 0.7572 0.0000  1 Np 2.09, 1 Li 2.21
F: 0.7500 0.5000 0.2500  2 Li 2.15
F: 0.2500 0.5000 0.7500  2 Li 2.15
F: 0.7500 0.2500 0.5000  2 Li 2.15
Rb: 0.0000 0.5000 0.0000  12 F 3.04
Rb: 0.5000 0.5000 0.5000  12 F 3.04
Rb: 0.0000 0.0000 0.5000  12 F 3.04
Rb: 0.5000 0.0000 0.0000  12 F 3.04
Li: 0.5000 0.5000 0.0000  6 F 2.15-2.21
Li: 0.5000 0.0000 0.5000  6 F 2.15-2.21
Li: 0.0000 0.5000 0.5000  6 F 2.15-2.21
Np: 0.0000 0.0000 0.0000  6 F 2.09

=====

Density functional theory data (PBE-GGA) for a relaxed structure of Rb2LiNpF6.

Calculated values
- Density: 5.1 Mg/m³
- Formation energy from raw total energies: -3041 meV per atom
- Space-group type: Pmmn, No. 59
- Calculated total energy: -5.8426 eV per atom
- Calculated volume: 346.1 Å³ per cell

Unit cell a=6.2524 b=6.2564 c=8.8464 alpha=90.00 beta=90.00 gamma=90.00
Closest atoms and distances in Å follow each position.
Positions (direct):
F: 0.0000 0.7502 0.2415  1 Li 2.14, 1 Np 2.29
F: 0.7586 0.9920 0.0000  1 Li 2.14, 1 Np 2.29
F: 0.2414 0.9920 0.0000  1 Li 2.14, 1 Np 2.29
F: 0.7416 0.4908 0.5000  1 Li 2.13, 1 Np 2.29
F: 0.2416 0.5092 0.0000  1 Li 2.13, 1 Np 2.29
F: 0.2586 0.0080 0.5000  1 Li 2.14, 1 Np 2.29
F: 0.5000 0.2498 0.2585  1 Li 2.14, 1 Np 2.29
F: 0.2584 0.4908 0.5000  1 Li 2.13, 1 Np 2.29
F: 0.7584 0.5092 0.0000  1 Li 2.13, 1 Np 2.29
F: 0.0000 0.7502 0.7585  1 Li 2.14, 1 Np 2.29
F: 0.5000 0.2498 0.7415  1 Li 2.14, 1 Np 2.29
F: 0.7414 0.0080 0.5000  1 Li 2.14, 1 Np 2.29
Li: 0.0000 0.7503 0.0000  6 F 2.13-2.14
Li: 0.5000 0.2497 0.5000  6 F 2.13-2.14
Rb: 0.5000 0.7503 0.2499  12 F 3.13
Rb: 0.0000 0.2497 0.2501  12 F 3.13
Rb: 0.0000 0.2497 0.7499  12 F 3.13
Rb: 0.5000 0.7503 0.7501  12 F 3.13
Np: 0.5000 0.2505 0.0000  6 F 2.29
Np: 0.0000 0.7495 0.5000  6 F 2.29

=====

Density functional theory data (PBE-GGA) for a relaxed structure of RbLiNpF6.

Calculated values
- Density of states at the Fermi level: 25.631 states/eV/cell
- Density: 4.3 Mg/m³
- Formation energy from raw total energies: -3237 meV per atom
- Space-group type: P-31c, No. 163
- Calculated total energy: -6.2428 eV per atom
- Calculated volume: 343.7 Å³ per cell

Unit cell a=5.7017 b=5.7017 c=12.2092 alpha=90.00 beta=90.00 gamma=120.00
Closest atoms and distances in Å follow each position.
Positions (direct):
F: 0.3775 0.3698 0.8457  1 Li 2.11, 1 Np 2.17
F: 0.0078 0.6302 0.3457  1 Li 2.11, 1 Np 2.17
F: 0.6302 0.6225 0.6543  1 Li 2.11, 1 Np 2.17
F: 0.3775 0.0078 0.6543  1 Li 2.11, 1 Np 2.17
F: 0.9922 0.3698 0.6543  1 Li 2.11, 1 Np 2.17
F: 0.6302 0.0078 0.8457  1 Li 2.11, 1 Np 2.17
F: 0.3698 0.9922 0.1543  1 Li 2.11, 1 Np 2.17
F: 0.6225 0.6302 0.1543  1 Li 2.11, 1 Np 2.17
F: 0.0078 0.3775 0.1543  1 Li 2.11, 1 Np 2.17
F: 0.3698 0.3775 0.3457  1 Li 2.11, 1 Np 2.17
F: 0.9922 0.6225 0.8457  1 Li 2.11, 1 Np 2.17
F: 0.6225 0.9922 0.3457  1 Li 2.11, 1 Np 2.17
Li: 0.6667 0.3333 0.7500  6 F 2.11
Li: 0.3333 0.6667 0.2500  6 F 2.11
Np: 0.3333 0.6667 0.7500  6 F 2.17
Np: 0.6667 0.3333 0.2500  6 F 2.17
Rb: 0.0000 0.0000 0.0000  6 F 2.84
Rb: 0.0000 0.0000 0.5000  6 F 2.84

=====

Density functional theory data (PBE-GGA) for a relaxed structure of Rb3Li2NpF9.

Calculated values
- Density of states at the Fermi level: 11.429 states/eV/cell
- Density: 4.4 Mg/m³
- Formation energy from raw total energies: -3041 meV per atom
- Space-group type: P-3m1, No. 164
- Calculated total energy: -5.4747 eV per atom
- Calculated volume: 255.6 Å³ per cell

Unit cell a=6.0806 b=6.0806 c=7.9811 alpha=90.00 beta=90.00 gamma=120.00
Closest atoms and distances in Å follow each position.
Positions (direct):
F: 0.8354 0.6709 0.6624  1 Np 2.16
F: 0.5000 0.0000 0.0000  2 Li 1.95
F: 0.0000 0.5000 0.0000  2 Li 1.95
F: 0.1646 0.3291 0.3376  1 Np 2.16
F: 0.6709 0.8354 0.3376  1 Np 2.16
F: 0.8354 0.1646 0.6624  1 Np 2.16
F: 0.1646 0.8354 0.3376  1 Np 2.16
F: 0.5000 0.5000 0.0000  2 Li 1.95
F: 0.3291 0.1646 0.6624  1 Np 2.16
Np: 0.0000 0.0000 0.5000  6 F 2.16
Rb: 0.3333 0.6667 0.7224  9 F 2.83-3.08, 1 Li 3.06
Rb: 0.0000 0.0000 0.0000  12 F 3.04-3.20
Rb: 0.6667 0.3333 0.2776  9 F 2.83-3.08, 1 Li 3.06
Li: 0.6667 0.3333 0.8938  3 F 1.95
Li: 0.3333 0.6667 0.1062  3 F 1.95